Density functional theory data (PBE) for crystalline HgBi2Te at its relaxed geometry.

Cell: 7.7896 7.7896 7.7896 Å, 90.00 90.00 90.00°
With the nearest neighbours (Å) after each atom.
Space group Fm-3m (No. 225)
Asymmetric unit:
Hg: 0.0000 0.0000 0.0000  8 Bi 3.37
Bi: 0.2500 0.2500 0.2500  4 Hg 3.37, 4 Te 3.37
Te: 0.0000 0.0000 0.5000  8 Bi 3.37

Offset from the most stable computed form in kJ/mol of atoms: 9.4
Formation energy from raw total energies in eV/atom: 0.144